Here is crystalline Rb2TeF5 at its relaxed geometry from Alexandria via LeMat-Bulk. Energies are from PBE-GGA.

Lattice parameters (Å, degrees): 6.502 6.502 6.312 121.01 121.02 90.00
Site moments in Bohr magnetons follow the coordinates.
Fractional coordinates of all 8 atoms:
F (0.232, 0.777, 0.009)  0.03
Te (0.011, 0.011, 0.022)  0.36
F (0.777, 0.232, 0.009)  0.03
F (0.748, 0.748, 0.496)  0.20
F (0.232, 0.232, 0.009)  0.03
Rb (0.750, 0.250, 0.501)  0.00
F (0.777, 0.776, 0.009)  0.03
Rb (0.250, 0.750, 0.501)  0.00

Symmetry: I4mm (107)
Uncorrected formation energy: -2.24 eV/atom